(1)
Material: PmIF
Method: DFT, PBE
State: optimized geometry

Summary:
Its space group is P-1 (2). The calculation puts the density of states at the Fermi level at 0.89 states/eV/cell. The relative energy among the computed polymorphs is 0.000 eV/atom. The calculation puts the uncorrected formation energy at -2.33 eV per atom. The calculation puts the energy at -5.050 eV per atom.

a b c (Å): 3.8306 4.2098 11.5046
angles (deg): 90.46 92.08 90.02
Closest atoms and distances in Å follow each position.
Atoms (fractional coordinates):
Pm 0.0153 0.2533 0.1487  3 F 2.34-2.39
Pm 0.9847 0.7467 0.8513  3 F 2.34-2.39
I 0.4671 0.2432 0.6899  4 Pm 3.40, 2 F 3.46
I 0.5329 0.7568 0.3101  4 Pm 3.40, 2 F 3.46
F 0.0057 0.7513 0.0593  3 Pm 2.34-2.39, 2 F 2.51
F 0.9943 0.2487 0.9407  3 Pm 2.34-2.39, 2 F 2.51

(2)
Material: PmIF2
Method: DFT, PBE
State: optimized geometry

Summary:
Its space group is Cmcm (63). The calculation puts the density of states at the Fermi level at 0.00 states/eV/cell. The relative energy among the computed polymorphs is 0.000 eV/atom. The calculation puts the uncorrected formation energy at -3.15 eV per atom. The calculation puts the energy at -5.656 eV per atom.

a b c (Å): 6.2652 6.2652 7.2692
angles (deg): 90.00 90.00 143.19
Closest atoms and distances in Å follow each position.
Atoms (fractional coordinates):
Pm 0.2422 0.7578 0.7500  6 F 2.42-2.45
Pm 0.7578 0.2422 0.2500  6 F 2.42-2.45
I 0.0433 0.9567 0.2500  3 Pm 3.23-3.39, 6 F 3.34-3.57
I 0.9567 0.0433 0.7500  3 Pm 3.23-3.39, 6 F 3.34-3.57
F 0.3028 0.6972 0.0725  3 Pm 2.42-2.45, 3 F 2.57-2.58
F 0.3028 0.6972 0.4275  3 Pm 2.42-2.45, 3 F 2.57-2.58
F 0.6972 0.3028 0.5725  3 Pm 2.42-2.45, 3 F 2.57-2.58
F 0.6972 0.3028 0.9275  3 Pm 2.42-2.45, 3 F 2.57-2.58

(3)
Material: PmIF
Method: DFT, PBE
State: optimized geometry

Summary:
Its space group is P3m1 (156). The calculation puts the density of states at the Fermi level at 1.52 states/eV/cell. The relative energy among the computed polymorphs is 0.135 eV/atom. The calculation puts the uncorrected formation energy at -2.19 eV per atom. The calculation puts the energy at -4.915 eV per atom.

a b c (Å): 4.1740 4.1740 4.8069
angles (deg): 90.00 90.00 120.00
Closest atoms and distances in Å follow each position.
Atoms (fractional coordinates):
Pm 0.0000 0.0000 0.0000  3 F 2.44
I 0.3333 0.6667 0.5600  3 Pm 3.21, 6 F 3.34-3.47
F 0.6667 0.3333 0.0803  3 Pm 2.44

Question: Among the records above, which one has the highest energy?
Answer: number 3

Repeat the first record exactly.
Material: PmIF
Method: DFT, PBE
State: optimized geometry

Summary:
Its space group is P-1 (2). The calculation puts the density of states at the Fermi level at 0.89 states/eV/cell. The relative energy among the computed polymorphs is 0.000 eV/atom. The calculation puts the uncorrected formation energy at -2.33 eV per atom. The calculation puts the energy at -5.050 eV per atom.

a b c (Å): 3.8306 4.2098 11.5046
angles (deg): 90.46 92.08 90.02
Closest atoms and distances in Å follow each position.
Atoms (fractional coordinates):
Pm 0.0153 0.2533 0.1487  3 F 2.34-2.39
Pm 0.9847 0.7467 0.8513  3 F 2.34-2.39
I 0.4671 0.2432 0.6899  4 Pm 3.40, 2 F 3.46
I 0.5329 0.7568 0.3101  4 Pm 3.40, 2 F 3.46
F 0.0057 0.7513 0.0593  3 Pm 2.34-2.39, 2 F 2.51
F 0.9943 0.2487 0.9407  3 Pm 2.34-2.39, 2 F 2.51

Question: Number 1 is which compound?
Answer: PmIF

Question: Which of these has the lowest energy?
Answer: PmIF2